Density functional theory data (PBE with a Hubbard U) for a relaxed YCr2SbO8 crystal.

**Space group**: C2/m, No. 12
**Total energy**: -7.29 eV per atom

abc: 4.7166 4.7132 6.3932
angles: 89.01 89.01 88.46
With the nearest neighbours (Å) after each atom.
Fractional positions:
Y  0.0000  0.0000  0.5000  6 O 2.21-2.23
Cr  0.5025  0.5025  0.7520  6 O 1.89-2.09
O  0.7957  0.2089  0.2275  1 Cr 1.93, 1 Sb 1.99
O  0.6700  0.6712  0.5122  2 Cr 1.89-2.08
O  0.7923  0.2055  0.7724  1 Cr 1.93, 1 Sb 1.99
O  0.3088  0.3076  0.9950  2 Cr 2.01-2.09, 1 Sb 2.08
O  0.2077  0.7945  0.2276  1 Cr 1.93, 1 Sb 1.99
Cr  0.4975  0.4975  0.2480  6 O 1.89-2.09
Sb  0.0000  0.0000  0.0000  6 O 1.99-2.08
O  0.6912  0.6924  0.0050  2 Cr 2.01-2.09, 1 Sb 2.08
O  0.3300  0.3288  0.4878  2 Cr 1.89-2.08
O  0.2043  0.7911  0.7725  1 Cr 1.93, 1 Sb 1.99